No. 1
A plane-wave DFT calculation with PBE-GGA was carried out for an optimized crystal structure of Hg4SbCl4.

Cell and atoms, written as CIF:
```
data_Hg4SbCl4
_cell_length_a 9.1737
_cell_length_b 9.1737
_cell_length_c 6.3644
_cell_angle_alpha 90.00
_cell_angle_beta 90.00
_cell_angle_gamma 90.00
_space_group_name_H-M_alt 'P 42/n m c'
_space_group_IT_number 137
loop_
_space_group_symop_operation_xyz
'x,y,z'
'-x,-y,-z'
'-y+1/2,x,z+1/2'
'y+1/2,-x,-z+1/2'
'-x+1/2,-y+1/2,z'
'x+1/2,y+1/2,-z'
'y,-x+1/2,z+1/2'
'-y,x+1/2,-z+1/2'
'x+1/2,-y,-z'
'-x+1/2,y,z'
'-y,-x,-z+1/2'
'y,x,z+1/2'
'-x,y+1/2,-z'
'x,-y+1/2,z'
'y+1/2,x+1/2,-z+1/2'
'-y+1/2,-x+1/2,z+1/2'
loop_
_atom_site_label
_atom_site_fract_x
_atom_site_fract_y
_atom_site_fract_z
_atom_site_occupancy
Hg1 0.0063 0.2500 0.0188 1
Sb1 0.2500 0.7500 0.7500 1
Cl1 0.0556 0.2500 0.5974 1
```

Computed properties:
- E_form (uncorrected): -3.640 eV per formula unit

No. 2
A plane-wave DFT calculation with PBE-GGA was carried out for an optimized crystal structure of HgSbCl.

Cell and atoms, written as CIF:
```
data_HgSbCl
_cell_length_a 7.1096
_cell_length_b 7.1096
_cell_length_c 7.1096
_cell_angle_alpha 90.00
_cell_angle_beta 90.00
_cell_angle_gamma 90.00
_space_group_name_H-M_alt 'F -4 3 m'
_space_group_IT_number 216
_space_group_name_Hall 'F -4 2 3'
loop_
_atom_site_label
_atom_site_fract_x
_atom_site_fract_y
_atom_site_fract_z
_atom_site_occupancy
Hg1 0.0000 0.0000 0.0000 1
Sb1 0.2500 0.2500 0.7500 1
Cl1 0.0000 0.0000 0.5000 1
```

Computed properties:
- Energy relative to the lowest polymorph listed for this composition: 416 meV/atom
- E_form (uncorrected): 0.258 eV per formula unit

No. 3
A plane-wave DFT calculation with PBE-GGA was carried out for an optimized crystal structure of Hg2SbCl.

Cell and atoms, written as CIF:
```
data_Hg2SbCl
_cell_length_a 7.4083
_cell_length_b 7.4083
_cell_length_c 7.4083
_cell_angle_alpha 90.00
_cell_angle_beta 90.00
_cell_angle_gamma 90.00
_space_group_name_H-M_alt 'F m -3 m'
_space_group_IT_number 225
_space_group_name_Hall '-F 4 2 3'
loop_
_atom_site_label
_atom_site_fract_x
_atom_site_fract_y
_atom_site_fract_z
_atom_site_occupancy
Hg1 0.2500 0.2500 0.2500 1
Sb1 0.0000 0.0000 0.0000 1
Cl1 0.0000 0.0000 0.5000 1
```

Computed properties:
- Energy relative to the lowest polymorph listed for this composition: 324 meV/atom
- E_form (uncorrected): 0.272 eV per formula unit

Number 1: magnetic moment 0.000 μB/f.u., V 29.76 A^3/atom. Number 2: magnetic moment 0.567 μB/f.u., V 29.95 A^3/atom. Number 3: magnetic moment 0.000 μB/f.u., V 25.41 A^3/atom.